# RbMgO3 meta-GGA SCAN PBEsol geometry
data_RbMgO3
_chemical_formula_sum 'Rb1 Mg1 O3'
_cell_length_a 4.254
_cell_length_b 4.254
_cell_length_c 4.254
_cell_angle_alpha 90.00
_cell_angle_beta 90.00
_cell_angle_gamma 90.00
_symmetry_space_group_name_H-M 'P m -3 m'
_symmetry_Int_Tables_number 221
_symmetry_space_group_name_Hall '-P 4 2 3'
loop_
_atom_site_label
_atom_site_fract_x
_atom_site_fract_y
_atom_site_fract_z
_atom_site_occupancy
Rb1 0.000 0.000 0.000 1
Mg1 0.500 0.500 0.500 1
O1 0.000 0.000 0.500 1
# calculated total energy = -42.1 eV/f.u.
# size of the total moment = 0.495 μB per formula unit
# D(E_F) = 0.49 states/eV/cell